{
  "formula": "Nd8Tm6Pb",
  "functional": "PBE",
  "state": "optimized geometry",
  "lattice": [[9.335, 0.000, 0.000], [-4.668, 8.085, 0.000], [0.000, 0.000, 6.558]],
  "species": ["Nd", "Nd", "Nd", "Nd", "Nd", "Nd", "Nd", "Nd", "Tm", "Tm", "Tm", "Tm", "Tm", "Tm", "Pb"],
  "frac_coords": [[0.042, 0.276, 0.323], [0.233, 0.958, 0.323], [0.276, 0.233, 0.677], [0.333, 0.667, 0.353], [0.667, 0.333, 0.647], [0.724, 0.767, 0.323], [0.767, 0.042, 0.677], [0.958, 0.724, 0.677], [0.100, 0.449, 0.838], [0.349, 0.900, 0.838], [0.449, 0.349, 0.162], [0.551, 0.651, 0.838], [0.651, 0.100, 0.162], [0.900, 0.551, 0.162], [0.000, 0.000, 0.000]],
  "formation_enthalpy_0k_ev_per_atom": 0.07,
  "space_group": "P-3, No. 147"
}

---

{
  "formula": "Ho12ErTl3",
  "functional": "PBE",
  "state": "optimized geometry",
  "lattice": [[4.840, 0.000, 0.000], [0.000, 4.840, 0.000], [0.000, 0.000, 19.728]],
  "species": ["Ho", "Ho", "Ho", "Ho", "Ho", "Ho", "Ho", "Ho", "Ho", "Ho", "Ho", "Ho", "Er", "Tl", "Tl", "Tl"],
  "frac_coords": [[0.000, 0.000, 0.000], [0.000, 0.000, 0.246], [0.000, 0.000, 0.500], [0.000, 0.000, 0.754], [0.000, 0.500, 0.123], [0.000, 0.500, 0.371], [0.000, 0.500, 0.629], [0.000, 0.500, 0.877], [0.500, 0.000, 0.123], [0.500, 0.000, 0.371], [0.500, 0.000, 0.629], [0.500, 0.000, 0.877], [0.500, 0.500, 0.500], [0.500, 0.500, 0.000], [0.500, 0.500, 0.244], [0.500, 0.500, 0.756]],
  "formation_enthalpy_0k_ev_per_atom": -0.12,
  "space_group": "P4/mmm, No. 123"
}

---

{
  "formula": "KGaC",
  "functional": "PBE",
  "state": "optimized geometry",
  "lattice": [[2.495, 1.440, 5.886], [-2.495, 1.440, 5.886], [0.000, -2.880, 5.886]],
  "species": ["K", "K", "Ga", "Ga", "C", "C"],
  "frac_coords": [[0.109, 0.109, 0.109], [0.891, 0.891, 0.891], [0.346, 0.346, 0.346], [0.654, 0.654, 0.654], [0.464, 0.464, 0.464], [0.536, 0.536, 0.536]],
  "formation_enthalpy_0k_ev_per_atom": 0.14,
  "space_group": "R-3m, No. 166"
}

---

{
  "formula": "Tl3SbAu",
  "functional": "PBE",
  "state": "optimized geometry",
  "lattice": [[5.520, 0.000, 0.000], [0.000, 5.520, 0.000], [0.000, 0.000, 5.520]],
  "species": ["Tl", "Tl", "Tl", "Sb", "Au"],
  "frac_coords": [[0.000, 0.000, 0.500], [0.000, 0.500, 0.000], [0.500, 0.000, 0.000], [0.500, 0.500, 0.500], [0.000, 0.000, 0.000]],
  "formation_energy_uncorrected_mev_per_atom": 209,
  "space_group": "Pm-3m, No. 221"
}

---

Number 1: VASP energy -0.1656 hartree per atom. Number 2: VASP energy -0.1575 hartree per atom. Number 3: VASP energy -0.1583 hartree per atom. Number 4: VASP energy -0.0989 hartree per atom.